The following is a PBE+U calculation of a relaxed CrGaTeO6 crystal, from the Alexandria database.

As for the crystal system: tetragonal. Its calculated total energy is -114.11 eV for the cell shown.

Cell: 4.6240 4.6240 9.1616 Å, 90.00 90.00 90.00°
Last column: nearest neighbours and their distance in Å.
Space group P4_2nm (No. 102)
Unique sites:
Cr (0.0000, 0.0000, 0.0000) (multiplicity 2)  6 O 2.01-2.02
Ga (0.0000, 0.0000, 0.3310) (multiplicity 2)  6 O 1.99-2.01
Te (0.0000, 0.0000, 0.6652) (multiplicity 2)  6 O 1.95-1.97
O (0.1915, 0.1915, 0.5018) (multiplicity 4)  1 Te 1.95, 1 Ga 2.00, 1 Cr 2.02
O (0.1927, 0.1927, 0.8281) (multiplicity 4)  1 Te 1.95, 1 Ga 2.01, 1 Cr 2.02
O (0.1989, 0.1989, 0.1669) (multiplicity 4)  1 Te 1.97, 1 Ga 1.99, 1 Cr 2.01